Record 1
VASP calculation (PBE) on a relaxed structure of LaTa2Ga2.

As for the total moment: 0.000 μB/atom. The calculation puts the electronic total energy at -0.530 Ry per atom. The value obtained for the formation enthalpy at 0 K is -0.2682 eV per atom. Its energy above the lowest structure with this stoichiometry is 0 meV per atom.

The space group is I4/mmm (No. 139) and the conventional cell measures 4.108, 4.108 and 12.554 Å, with angles of 90.00, 90.00 and 90.00 degrees. The asymmetric unit holds La at (0.000, 0.000, 0.000), Ta at (0.000, 0.500, 0.250) and Ga at (0.000, 0.000, 0.396).

Record 2
VASP calculation (PBE) on a relaxed structure of Cu4HgW.

As for the total moment: 0.300 μB/atom. The calculation puts the electronic total energy at -0.330 Ry per atom. The value obtained for the formation enthalpy at 0 K is 0.4538 eV per atom.

The space group is F-43m (No. 216) and the conventional cell measures 6.949, 6.949 and 6.949 Å, with angles of 90.00, 90.00 and 90.00 degrees. The asymmetric unit holds Cu at (0.124, 0.124, 0.376), Hg at (0.000, 0.000, 0.000) and W at (0.250, 0.250, 0.750).

Record 3
VASP calculation (PBE) on a relaxed structure of Sc6Ge2N.

As for the total moment: 0.015 μB/atom. The calculation puts the electronic total energy at -0.498 Ry per atom. The calculation puts the uncorrected formation energy at -0.610 eV per atom.

The space group is P4_2/mnm (No. 136) and the conventional cell measures 5.874, 5.874 and 11.504 Å, with angles of 90.00, 90.00 and 90.00 degrees. The asymmetric unit holds Sc at (0.189, 0.189, 0.136), Sc at (0.216, 0.216, 0.500), Ge at (0.000, 0.000, 0.324) and N at (0.000, 0.000, 0.000).

Record 4
VASP calculation (PBE) on a relaxed structure of NaSrSb3.

As for the total moment: 0.000 μB/atom. The calculation puts the electronic total energy at -0.221 Ry per atom. The calculation puts the uncorrected formation energy at 0.068 eV per atom. Its energy above the lowest structure with this stoichiometry is 0 meV per atom.

The space group is Pm-3m (No. 221) and the conventional cell measures 5.482, 5.482 and 5.482 Å, with angles of 90.00, 90.00 and 90.00 degrees. The asymmetric unit holds Na at (0.000, 0.000, 0.000), Sr at (0.500, 0.500, 0.500) and Sb at (0.000, 0.000, 0.500).

Record 5
VASP calculation (PBE) on a relaxed structure of PmNd3Hg.

As for the total moment: 0.000 μB/atom. The calculation puts the electronic total energy at -0.291 Ry per atom. The value obtained for the formation enthalpy at 0 K is -0.0850 eV per atom.

The space group is C2/m (No. 12) and the conventional cell measures 22.573, 3.648 and 8.293 Å, with angles of 90.00, 105.12 and 90.00 degrees. The asymmetric unit holds Pm at (0.240, 0.000, 0.323), Nd at (0.014, 0.500, 0.745), Nd at (0.116, 0.000, 0.533), Nd at (0.173, 0.500, 0.955) and Hg at (0.082, 0.000, 0.111).

Record 6
VASP calculation (PBE) on a relaxed structure of TmZnGePd.

As for the total moment: 0.000 μB/atom. The calculation puts the electronic total energy at -0.324 Ry per atom. The value obtained for the formation enthalpy at 0 K is -0.5198 eV per atom.

The space group is F-43m (No. 216) and the conventional cell measures 6.635, 6.635 and 6.635 Å, with angles of 90.00, 90.00 and 90.00 degrees. The asymmetric unit holds Tm at (0.000, 0.000, 0.000), Zn at (0.000, 0.000, 0.500), Ge at (0.250, 0.250, 0.750) and Pd at (0.250, 0.250, 0.250).